(1)
The following is a DFT calculation (PBE) of crystalline Cs2NaAsSe4 at its relaxed geometry.

Formation energy from raw total energies in eV/f.u.: -6.11
Electronic total energy in eV/atom: -3.465

Unit cell a=6.7233 b=14.5823 c=26.0073 alpha=90.00 beta=90.00 gamma=90.00
Space group Fddd (No. 70, origin choice 2)
One atom of each set of equivalent atoms:
Cs (0.1250, 0.1250, 0.3072) [16 per cell]
Na (0.1250, 0.1250, 0.1250) [8 per cell]
As (0.1250, 0.1250, 0.6250) [8 per cell]
Se (0.0689, 0.2787, 0.8219) [32 per cell]

---

(2)
The following is a DFT calculation (PBE) of crystalline CsNaAsSe2 at its relaxed geometry.

Formation energy from raw total energies in eV/f.u.: -2.49
Electronic total energy in eV/atom: -3.256

Unit cell a=5.7684 b=16.3253 c=6.9368 alpha=90.00 beta=90.00 gamma=90.00
Space group Cmme (No. 67)
One atom of each set of equivalent atoms:
Cs (0.0000, 0.2500, 0.2437) [4 per cell]
Na (0.2500, 0.0000, 0.5000) [4 per cell]
As (0.0000, 0.0000, 0.0000) [4 per cell]
Se (0.0000, 0.1134, 0.7426) [8 per cell]

---

(3)
The following is a DFT calculation (PBE) of crystalline CsNaAsSe2 at its relaxed geometry.

Formation energy from raw total energies in eV/f.u.: 0.63
Electronic total energy in eV/atom: -2.633

Unit cell a=5.4849 b=5.4849 c=5.2930 alpha=90.00 beta=90.00 gamma=90.00
Space group P4/mmm (No. 123)
One atom of each set of equivalent atoms:
Cs (0.0000, 0.0000, 0.0000) [1 per cell]
Na (0.5000, 0.5000, 0.5000) [1 per cell]
As (0.5000, 0.5000, 0.0000) [1 per cell]
Se (0.0000, 0.5000, 0.5000) [2 per cell]

---

(4)
The following is a DFT calculation (PBE) of crystalline Cs2NaSnAs2 at its relaxed geometry.

Formation energy from the elements in meV per atom: -408
Electronic total energy in eV/atom: -3.129

Unit cell a=7.1606 b=16.8058 c=7.1343 alpha=90.00 beta=90.00 gamma=90.00
Space group Ibam (No. 72)
One atom of each set of equivalent atoms:
Cs (0.2349, 0.1741, 0.0000) [8 per cell]
Na (0.0000, 0.0000, 0.2500) [4 per cell]
Sn (0.0000, 0.5000, 0.2500) [4 per cell]
As (0.2253, 0.4082, 0.0000) [8 per cell]

---

(5)
The following is a DFT calculation (PBE) of crystalline CsNaSnAs2 at its relaxed geometry.

Formation energy from the elements in meV per atom: -343
Electronic total energy in eV/atom: -3.438

Unit cell a=15.3239 b=4.4679 c=10.5575 alpha=90.00 beta=98.69 gamma=90.00
Space group C2/m (No. 12)
One atom of each set of equivalent atoms:
Cs (0.1383, 0.0000, 0.1621) [4 per cell]
Na (0.1939, 0.0000, 0.5756) [4 per cell]
Sn (0.0545, 0.5000, 0.6635) [4 per cell]
As (0.1103, 0.0000, 0.8065) [4 per cell]
As (0.1152, 0.5000, 0.4342) [4 per cell]

---

(6)
The following is a DFT calculation (PBE) of crystalline CsNaSnAs at its relaxed geometry.

Formation energy from the elements in meV per atom: -188
Electronic total energy in eV/atom: -2.894

Unit cell a=7.3576 b=4.2467 c=10.7214 alpha=90.00 beta=103.34 gamma=90.00
Space group Cm (No. 8)
One atom of each set of equivalent atoms:
Cs (0.0000, 0.0000, 0.0000) [2 per cell]
Na (0.4621, 0.0000, 0.3924) [2 per cell]
Sn (0.3713, 0.5000, 0.6185) [2 per cell]
As (0.0808, 0.5000, 0.7457) [2 per cell]

---

(7)
The following is a DFT calculation (PBE) of crystalline CsNa2TcAs at its relaxed geometry.

Formation energy from the elements in meV per atom: 295
Electronic total energy in eV/atom: -3.407

Unit cell a=5.8017 b=5.8017 c=4.7815 alpha=90.00 beta=90.00 gamma=90.00
Space group P4/mmm (No. 123)
One atom of each set of equivalent atoms:
Cs (0.0000, 0.0000, 0.0000) [1 per cell]
Na (0.0000, 0.5000, 0.5000) [2 per cell]
Tc (0.5000, 0.5000, 0.5000) [1 per cell]
As (0.5000, 0.5000, 0.0000) [1 per cell]

---

(8)
The following is a DFT calculation (PBE) of crystalline Cs2NaTe4As at its relaxed geometry.

Formation energy from raw total energies in eV/f.u.: -4.58
Electronic total energy in eV/atom: -3.103

Unit cell a=6.5073 b=17.4413 c=25.5282 alpha=90.00 beta=90.00 gamma=90.00
Space group Fddd (No. 70, origin choice 2)
One atom of each set of equivalent atoms:
Cs (0.1250, 0.1250, 0.3101) [16 per cell]
Na (0.1250, 0.1250, 0.1250) [8 per cell]
Te (0.0570, 0.2788, 0.8062) [32 per cell]
As (0.1250, 0.1250, 0.6250) [8 per cell]

---

(9)
The following is a DFT calculation (PBE) of crystalline CsNaTe3As at its relaxed geometry.

Formation energy from raw total energies in eV/f.u.: -2.91
Electronic total energy in eV/atom: -3.193

Unit cell a=11.7690 b=9.6010 c=8.9579 alpha=90.00 beta=96.04 gamma=90.00
Space group C2/m (No. 12)
One atom of each set of equivalent atoms:
Cs (0.1268, 0.0000, 0.3747) [4 per cell]
Na (0.0000, 0.3154, 0.0000) [4 per cell]
Te (0.1343, 0.2678, 0.7184) [8 per cell]
Te (0.1788, 0.5000, 0.2282) [4 per cell]
As (0.0175, 0.5000, 0.6471) [4 per cell]

---

(10)
The following is a DFT calculation (PBE) of crystalline CsNa2TlAs at its relaxed geometry.

Formation energy from the elements in meV per atom: -118
Electronic total energy in eV/atom: -2.220

Unit cell a=5.7026 b=5.7026 c=6.1545 alpha=90.00 beta=90.00 gamma=90.00
Space group P4/mmm (No. 123)
One atom of each set of equivalent atoms:
Cs (0.0000, 0.0000, 0.0000) [1 per cell]
Na (0.0000, 0.5000, 0.5000) [2 per cell]
Tl (0.5000, 0.5000, 0.0000) [1 per cell]
As (0.5000, 0.5000, 0.5000) [1 per cell]

---

(11)
The following is a DFT calculation (PBE) of crystalline CsNa2TlAs at its relaxed geometry.

Formation energy from the elements in meV per atom: 26
Electronic total energy in eV/atom: -2.076

Unit cell a=6.0066 b=6.0066 c=5.4988 alpha=90.00 beta=90.00 gamma=90.00
Space group P4/mmm (No. 123)
One atom of each set of equivalent atoms:
Cs (0.0000, 0.0000, 0.0000) [1 per cell]
Na (0.0000, 0.5000, 0.5000) [2 per cell]
Tl (0.5000, 0.5000, 0.5000) [1 per cell]
As (0.5000, 0.5000, 0.0000) [1 per cell]

---

(12)
The following is a DFT calculation (PBE) of crystalline CsNa2TlAs at its relaxed geometry.

Formation energy from the elements in meV per atom: 599
Electronic total energy in eV/atom: -1.503

Unit cell a=6.3547 b=6.3547 c=5.9757 alpha=90.00 beta=90.00 gamma=90.00
Space group P4/mmm (No. 123)
One atom of each set of equivalent atoms:
Cs (0.0000, 0.0000, 0.0000) [1 per cell]
Na (0.0000, 0.5000, 0.0000) [2 per cell]
Tl (0.5000, 0.5000, 0.5000) [1 per cell]
As (0.0000, 0.0000, 0.5000) [1 per cell]